A plane-wave DFT calculation with PBE was carried out for a relaxed structure of YAg2Pt.

Properties
Its magnetization is 0.000 μB per formula unit. The formation enthalpy at 0 K comes out at -0.345 eV per atom. The space group is I-42d, No. 122. The crystal system is tetragonal.

```
8
Lattice="-0.845 -0.761 -3.849 -1.458 -3.594 1.030 -10.687 2.052 -0.153" Properties=species:S:1:pos:R:3 pbc="T T T"
Ag -8.853 -0.030 -1.190
Ag -3.397 -0.425 -2.383
Ag -10.057 -2.335 -2.562
Ag -3.674 -1.815 0.193
Pt -6.342 -0.443 -2.706
Pt 0.000 0.000 0.000
Y -1.152 -2.178 -1.409
Y -6.649 -1.860 -0.266
```